(1)
A plane-wave DFT calculation with PBEsol was carried out for a relaxed structure of PuCu2.

CIF file:
```
data_PuCu2
_symmetry_space_group_name_H-M 'P 6/m m m'
_symmetry_Int_Tables_number 191
_symmetry_space_group_name_Hall '-P 6 2'
_cell_length_a 4.4534
_cell_length_b 4.4534
_cell_length_c 2.7960
_cell_angle_alpha 90.00
_cell_angle_beta 90.00
_cell_angle_gamma 120.00
loop_
_atom_site_label
_atom_site_type_symbol
_atom_site_fract_x
_atom_site_fract_y
_atom_site_fract_z
_atom_site_occupancy
Pu1 Pu 0.0000 0.0000 0.0000 1
Cu1 Cu 0.3333 0.6667 0.5000 1
```

Computed properties:
Raw total energy = -7.741 eV/atom



(2)
A plane-wave DFT calculation with PBEsol was carried out for a relaxed structure of PuCu2Si2.

CIF file:
```
data_PuCu2Si2
_symmetry_space_group_name_H-M 'I 4/m m m'
_symmetry_Int_Tables_number 139
_symmetry_space_group_name_Hall '-I 4 2'
_cell_length_a 3.9188
_cell_length_b 3.9188
_cell_length_c 9.9159
_cell_angle_alpha 90.00
_cell_angle_beta 90.00
_cell_angle_gamma 90.00
loop_
_atom_site_label
_atom_site_type_symbol
_atom_site_fract_x
_atom_site_fract_y
_atom_site_fract_z
_atom_site_occupancy
Pu1 Pu 0.0000 0.0000 0.0000 1
Cu1 Cu 0.0000 0.5000 0.2500 1
Si1 Si 0.0000 0.0000 0.3823 1
```

Computed properties:
Raw total energy = -7.418 eV/atom



These records have theoretical density values of 12.8, 9.3 g cm⁻³, in the order they appear.